DFT (GGA-PBE) results for a geometry-optimized PmThGaTc structure.

Cell: 5.112 5.112 5.112 Å, 60.00 60.00 60.00°
Fractional positions:
Pm1 0.000 0.000 0.000
Th1 0.500 0.500 0.500
Ga1 0.250 0.250 0.250
Tc1 0.750 0.750 0.750

Output
DOS at the Fermi energy in states/eV/f.u.: 2.37
Spin magnetization in μB/f.u.: 0.00
Offset from the most stable computed form in meV/atom: 183
Mass density in g/cm³: 9.58